# LiFeAs | OQMD via LeMat-Bulk | PBE | relaxed
# Crystal system   hexagonal
# M_tot   0.70 μB per atom
# VASP energy   -4.852 eV/atom
data_LiFeAs
_chemical_formula_sum 'Li2 Fe2 As2'
_cell_length_a 4.2379
_cell_length_b 4.2379
_cell_length_c 5.0204
_cell_angle_alpha 90.00
_cell_angle_beta 90.00
_cell_angle_gamma 120.00
_space_group_name_H-M_alt 'P 63/m m c'
_space_group_IT_number 194
_space_group_name_Hall '-P 6c 2c'
loop_
_atom_site_label
_atom_site_type_symbol
_atom_site_fract_x
_atom_site_fract_y
_atom_site_fract_z
Li1 Li 0.3333 0.6667 0.2500
Fe1 Fe 0.0000 0.0000 0.2500
As1 As 0.3333 0.6667 0.7500

***

# SrMgSiPt | OQMD via LeMat-Bulk | PBE | relaxed
# Crystal system   cubic
# M_tot   0.00 μB per atom
# VASP energy   -3.867 eV/atom
data_SrMgSiPt
_chemical_formula_sum 'Sr4 Mg4 Si4 Pt4'
_cell_length_a 6.834
_cell_length_b 6.834
_cell_length_c 6.834
_cell_angle_alpha 90.00
_cell_angle_beta 90.00
_cell_angle_gamma 90.00
_space_group_name_H-M_alt 'F -4 3 m'
_space_group_IT_number 216
_space_group_name_Hall 'F -4 2 3'
loop_
_atom_site_label
_atom_site_type_symbol
_atom_site_fract_x
_atom_site_fract_y
_atom_site_fract_z
Sr1 Sr 0.000 0.000 0.000
Mg1 Mg 0.250 0.250 0.750
Si1 Si 0.000 0.000 0.500
Pt1 Pt 0.250 0.250 0.250

***

# Tb3Si2Ag4Sn2 | OQMD via LeMat-Bulk | PBE | relaxed
# Crystal system   orthorhombic
# M_tot   0.00 μB per atom
# VASP energy   -4.517 eV/atom
data_Tb3Si2Ag4Sn2
_chemical_formula_sum 'Tb6 Si4 Ag8 Sn4'
_cell_length_a 4.464
_cell_length_b 7.097
_cell_length_c 14.924
_cell_angle_alpha 90.00
_cell_angle_beta 90.00
_cell_angle_gamma 90.00
_space_group_name_H-M_alt 'I m m m'
_space_group_IT_number 71
_space_group_name_Hall '-I 2 2'
loop_
_atom_site_label
_atom_site_type_symbol
_atom_site_fract_x
_atom_site_fract_y
_atom_site_fract_z
Tb1 Tb 0.000 0.000 0.000
Tb2 Tb 0.000 0.500 0.121
Si1 Si 0.000 0.171 0.500
Ag1 Ag 0.000 0.302 0.344
Sn1 Sn 0.000 0.000 0.218

***

# SmThW | OQMD via LeMat-Bulk | PBE | relaxed
# Crystal system   cubic
# ΔH_f (0 K)   0.574 eV per atom
# M_tot   0.00 μB per atom
# VASP energy   -7.787 eV/atom
data_SmThW
_chemical_formula_sum 'Sm4 Th4 W4'
_cell_length_a 7.011
_cell_length_b 7.011
_cell_length_c 7.011
_cell_angle_alpha 90.00
_cell_angle_beta 90.00
_cell_angle_gamma 90.00
_space_group_name_H-M_alt 'F -4 3 m'
_space_group_IT_number 216
_space_group_name_Hall 'F -4 2 3'
loop_
_atom_site_label
_atom_site_type_symbol
_atom_site_fract_x
_atom_site_fract_y
_atom_site_fract_z
Sm1 Sm 0.000 0.000 0.000
Th1 Th 0.000 0.000 0.500
W1 W 0.250 0.250 0.250

***

# NdSm2Ag3 | OQMD via LeMat-Bulk | PBE | relaxed
# Crystal system   tetragonal
# ΔH_f (0 K)   -0.286 eV per atom
# M_tot   0.01 μB per atom
# VASP energy   -4.062 eV/atom
data_NdSm2Ag3
_chemical_formula_sum 'Nd1 Sm2 Ag3'
_cell_length_a 3.704
_cell_length_b 3.704
_cell_length_c 11.193
_cell_angle_alpha 90.00
_cell_angle_beta 90.00
_cell_angle_gamma 90.00
_space_group_name_H-M_alt 'P 4/m m m'
_space_group_IT_number 123
_space_group_name_Hall '-P 4 2'
loop_
_atom_site_label
_atom_site_type_symbol
_atom_site_fract_x
_atom_site_fract_y
_atom_site_fract_z
Nd1 Nd 0.000 0.000 0.000
Sm1 Sm 0.000 0.000 0.335
Ag1 Ag 0.500 0.500 0.172
Ag2 Ag 0.500 0.500 0.500

***

# LiInPt2 | OQMD via LeMat-Bulk | PBE | relaxed
# Crystal system   cubic
# M_tot   0.00 μB per atom
# VASP energy   -4.657 eV/atom
data_LiInPt2
_chemical_formula_sum 'Li4 In4 Pt8'
_cell_length_a 6.378
_cell_length_b 6.378
_cell_length_c 6.378
_cell_angle_alpha 90.00
_cell_angle_beta 90.00
_cell_angle_gamma 90.00
_space_group_name_H-M_alt 'F -4 3 m'
_space_group_IT_number 216
_space_group_name_Hall 'F -4 2 3'
loop_
_atom_site_label
_atom_site_type_symbol
_atom_site_fract_x
_atom_site_fract_y
_atom_site_fract_z
Li1 Li 0.000 0.000 0.000
In1 In 0.250 0.250 0.750
Pt1 Pt 0.000 0.000 0.500
Pt2 Pt 0.250 0.250 0.250